# 1
First-principles (GGA-PBE) data for MgZrMnMo2 after structural relaxation, as listed in Alexandria.

POSCAR file:
```
MgZrMnMo2
1.0
4.6945 0.0000 0.0000
0.0000 4.6945 0.0000
0.0000 0.0000 4.1941
Mg Zr Mn Mo
1 1 1 2
Cartesian
0.0000 0.0000 0.0000
2.3472 2.3472 2.0971
0.0000 0.0000 2.0971
0.0000 2.3472 0.0000
2.3472 0.0000 0.0000
```

Density of states at the Fermi level, states/eV/cell: 7.62
ΔH_f (0 K), eV per atom: 1.677
Density, Mg/m³: 6.51
Calculated total energy, eV per cell: -32.6

***

# 2
First-principles (GGA-PBE) data for Mg5MnN4 after structural relaxation, as listed in Alexandria.

POSCAR file:
```
Mg5MnN4
1.0
6.7234 0.0000 0.0000
0.0000 7.2555 0.0000
0.0000 0.0000 5.1715
Mg Mn N
10 2 8
Cartesian
0.0068 0.3972 1.2940
0.0068 3.2305 1.2940
1.6808 1.8139 3.7336
3.3548 0.3972 1.2940
3.3548 3.2305 1.2940
3.3685 4.0249 3.8775
3.3685 6.8582 3.8775
5.0425 5.4416 1.4379
6.7165 4.0249 3.8775
6.7165 6.8582 3.8775
1.6808 5.4416 1.4827
5.0425 1.8139 3.6888
0.0207 5.4416 0.2479
1.6808 0.0200 2.5998
1.6808 3.6077 2.5998
3.3409 5.4416 0.2479
3.3824 1.8139 4.9235
5.0425 3.6477 2.5716
5.0425 7.2354 2.5716
6.7026 1.8139 4.9235
```

Density of states at the Fermi level, states/eV/cell: 0.96
Density, Mg/m³: 3.06
Uncorrected formation energy, meV per atom: -522
Calculated total energy, eV per cell: -111.3

***

# 3
First-principles (GGA-PBE) data for MgMnN2 after structural relaxation, as listed in Alexandria.

POSCAR file:
```
MgMnN2
1.0
-2.2790 2.2790 4.3777
2.2790 -2.2790 4.3777
2.2790 2.2790 -4.3777
Mg Mn N
2 2 4
Cartesian
0.0000 0.0000 0.0000
0.0000 2.2790 2.1888
2.2790 0.0000 2.1888
0.0000 0.0000 4.3777
1.1395 -0.8881 3.2833
1.3909 1.1395 1.0944
1.1395 3.1671 -1.0944
0.8881 1.1395 5.4721
```

Density of states at the Fermi level, states/eV/cell: 4.26
Density, Mg/m³: 3.92
Uncorrected formation energy, meV per atom: -419
Calculated total energy, eV per cell: -58.2

***

# 4
First-principles (GGA-PBE) data for Mg3MnN4 after structural relaxation, as listed in Alexandria.

POSCAR file:
```
Mg3MnN4
1.0
6.5866 0.0000 0.0000
0.0000 5.7234 0.0000
0.0000 0.0000 5.2177
Mg Mn N
6 2 8
Cartesian
0.0000 0.8686 0.0000
1.6283 1.8767 2.6023
1.6650 3.8467 5.2111
3.2933 4.8549 2.6088
4.9216 3.8467 5.2111
4.9583 1.8767 2.6023
0.0000 4.7238 2.5623
3.2933 0.9997 5.1711
0.0000 0.6666 3.0998
0.0000 4.6996 0.8310
1.4605 3.9007 3.1088
1.8328 1.8228 0.5000
3.2933 1.0238 3.4398
3.2933 5.0568 0.4909
4.7539 1.8228 0.5000
5.1261 3.9007 3.1088
```

Density of states at the Fermi level, states/eV/cell: 6.60
Density, Mg/m³: 3.10
Uncorrected formation energy, meV per atom: -549
Calculated total energy, eV per cell: -103.3

***

# 5
First-principles (GGA-PBE) data for Mg2MnN3 after structural relaxation, as listed in Alexandria.

POSCAR file:
```
Mg2MnN3
1.0
4.9760 -2.8884 0.0000
4.9760 2.8884 0.0000
0.0000 0.0000 5.0247
Mg Mn N
4 2 6
Cartesian
3.3516 1.9011 2.5123
6.6003 1.9011 2.5123
3.3516 -1.9011 0.0000
6.6003 -1.9011 0.0000
4.9760 0.9599 4.9964
4.9760 -0.9599 2.4840
3.5016 1.8232 0.3848
6.4504 1.8232 0.3848
4.9760 0.7333 3.1712
4.9760 -0.7333 0.6589
3.5016 -1.8232 2.8972
6.4504 -1.8232 2.8972
```

Density of states at the Fermi level, states/eV/cell: 1.53
Density, Mg/m³: 3.35
Uncorrected formation energy, meV per atom: -550
Calculated total energy, eV per cell: -81.3

***

# 6
First-principles (GGA-PBE) data for Mg2MnN after structural relaxation, as listed in Alexandria.

POSCAR file:
```
Mg2MnN
1.0
0.0000 3.1212 3.1212
3.1212 0.0000 3.1212
3.1212 3.1212 0.0000
Mg Mn N
2 1 1
Cartesian
1.5606 1.5606 1.5606
4.6818 4.6818 4.6818
0.0000 0.0000 0.0000
3.1212 3.1212 3.1212
```

Density of states at the Fermi level, states/eV/cell: 2.10
Density, Mg/m³: 3.21
Energy above the most stable polymorph in this dataset, meV per atom: 883
Uncorrected formation energy, meV per atom: 868
Calculated total energy, eV per cell: -17.2

***

# 7
First-principles (GGA-PBE) data for MgMnN2 after structural relaxation, as listed in Alexandria.

POSCAR file:
```
MgMnN2
1.0
0.0000 2.5706 2.5706
2.5706 0.0000 2.5706
2.5706 2.5706 0.0000
Mg Mn N
1 1 2
Cartesian
0.0000 0.0000 0.0000
2.5706 2.5706 2.5706
1.2853 1.2853 1.2853
3.8560 3.8560 3.8560
```

Density of states at the Fermi level, states/eV/cell: 1.91
Density, Mg/m³: 5.24
Uncorrected formation energy, meV per atom: 370
Calculated total energy, eV per cell: -25.9

***

# 8
First-principles (GGA-PBE) data for MgMnN2 after structural relaxation, as listed in Alexandria.

POSCAR file:
```
MgMnN2
1.0
1.4792 0.8540 4.9145
-1.4792 0.8540 4.9145
0.0000 -1.7080 4.9145
Mg Mn N
1 1 2
Cartesian
0.0000 0.0000 0.0000
0.0000 0.0000 7.3717
0.0000 0.0000 3.5508
0.0000 0.0000 11.1927
```

Density of states at the Fermi level, states/eV/cell: 0.77
Density, Mg/m³: 4.78
Uncorrected formation energy, meV per atom: -564
Calculated total energy, eV per cell: -29.7

***

calculated total energy of number 6 (Mg2MnN)?
-17.2 eV per cell

***

What is the calculated total energy in the seventh record?
-25.9 eV per cell

***

Look up the calculated total energy of the second one.
-111.3 eV per cell